[1]
PrHoTlPd: relaxed, PBE.

Geometry as extended XYZ:
```
16
Lattice="7.458 0.000 0.000 0.000 7.458 0.000 0.000 0.000 7.458" Properties=species:S:1:pos:R:3 pbc="T T T"
Pr 0.000 0.000 0.000
Pr 0.000 3.729 3.729
Pr 3.729 0.000 3.729
Pr 3.729 3.729 0.000
Ho 0.000 0.000 3.729
Ho 0.000 3.729 0.000
Ho 3.729 0.000 0.000
Ho 3.729 3.729 3.729
Tl 1.865 1.865 1.865
Tl 1.865 5.594 5.594
Tl 5.594 1.865 5.594
Tl 5.594 5.594 1.865
Pd 1.865 1.865 5.594
Pd 1.865 5.594 1.865
Pd 5.594 1.865 1.865
Pd 5.594 5.594 5.594
```

Output
Energy of formation = -0.494 eV/atom
M_tot = 0.000 μB/atom
Symmetry = No. 216

---

[2]
Pr2HoZn2Pd5: relaxed, PBE.

Geometry as extended XYZ:
```
20
Lattice="10.085 0.000 0.000 0.000 10.085 0.000 0.000 0.000 3.903" Properties=species:S:1:pos:R:3 pbc="T T T"
Pr 1.788 3.254 0.000
Pr 3.254 8.297 0.000
Pr 6.831 1.788 0.000
Pr 8.297 6.831 0.000
Ho 0.000 0.000 0.000
Ho 5.043 5.043 0.000
Zn 1.188 6.231 0.000
Zn 3.854 1.188 0.000
Zn 6.231 8.897 0.000
Zn 8.897 3.854 0.000
Pd 0.000 5.043 1.951
Pd 0.673 7.935 1.951
Pd 2.150 0.673 1.951
Pd 2.893 5.715 1.951
Pd 4.370 2.893 1.951
Pd 5.043 0.000 1.951
Pd 5.715 7.192 1.951
Pd 7.192 4.370 1.951
Pd 7.935 9.412 1.951
Pd 9.412 2.150 1.951
```

Output
Energy of formation = -0.727 eV/atom
M_tot = 0.000 μB/atom
Symmetry = No. 127

---

[3]
Ho2PdPt4: relaxed, PBE.

Geometry as extended XYZ:
```
14
Lattice="3.891 0.000 0.000 0.000 3.891 0.000 0.000 0.000 18.409" Properties=species:S:1:pos:R:3 pbc="T T T"
Ho 0.000 0.000 1.911
Ho 0.000 0.000 16.497
Ho 1.946 1.946 7.293
Ho 1.946 1.946 11.116
Pd 0.000 0.000 9.204
Pd 1.946 1.946 0.000
Pt 0.000 0.000 6.572
Pt 0.000 0.000 11.836
Pt 0.000 1.946 4.602
Pt 0.000 1.946 13.807
Pt 1.946 0.000 4.602
Pt 1.946 0.000 13.807
Pt 1.946 1.946 2.632
Pt 1.946 1.946 15.777
```

Output
Energy of formation = -0.823 eV/atom
M_tot = 0.000 μB/atom
Energy above the most stable polymorph in this dataset = 0 meV per atom
Symmetry = No. 139

---

[4]
Ho7Pd2Pt2: relaxed, PBE.

Geometry as extended XYZ:
```
11
Lattice="4.330 -5.108 0.000 4.330 5.108 0.000 0.000 0.000 6.924" Properties=species:S:1:pos:R:3 pbc="T T T"
Ho 0.000 0.000 0.000
Ho 2.165 2.554 1.808
Ho 2.165 2.554 5.116
Ho 2.165 -2.554 1.808
Ho 2.165 -2.554 5.116
Ho 4.330 0.000 1.792
Ho 4.330 0.000 5.132
Pd 4.330 2.269 0.000
Pd 4.330 -2.269 0.000
Pt 2.091 0.000 3.462
Pt 6.569 0.000 3.462
```

Output
Energy of formation = -0.579 eV/atom
M_tot = 0.000 μB/atom
Energy above the most stable polymorph in this dataset = 246 meV per atom
Symmetry = No. 65

---

Please write out number 3 again, unchanged.
Ho2PdPt4: relaxed, PBE.

Geometry as extended XYZ:
```
14
Lattice="3.891 0.000 0.000 0.000 3.891 0.000 0.000 0.000 18.409" Properties=species:S:1:pos:R:3 pbc="T T T"
Ho 0.000 0.000 1.911
Ho 0.000 0.000 16.497
Ho 1.946 1.946 7.293
Ho 1.946 1.946 11.116
Pd 0.000 0.000 9.204
Pd 1.946 1.946 0.000
Pt 0.000 0.000 6.572
Pt 0.000 0.000 11.836
Pt 0.000 1.946 4.602
Pt 0.000 1.946 13.807
Pt 1.946 0.000 4.602
Pt 1.946 0.000 13.807
Pt 1.946 1.946 2.632
Pt 1.946 1.946 15.777
```

Output
Energy of formation = -0.823 eV/atom
M_tot = 0.000 μB/atom
Energy above the most stable polymorph in this dataset = 0 meV per atom
Symmetry = No. 139

---

What is the formula in the fourth record? Ho7Pd2Pt2

---

Among the records above, which one has the lowest energy of formation? Ho2PdPt4